Record 1
## Pm2ZnSi4Pt3 (PBE)

Data for a relaxed structure of Pm2ZnSi4Pt3.

Calculated values
The value obtained for the formation energy (no corrections) is -0.991 eV per atom. As for the total moment: 0.000 μB per atom. The calculation puts the volume at 178.8 Å³/cell. The calculated density comes out at 9.779 g/cm3.

Cell lengths 4.2251, 4.2251, 10.0166 Å; angles 90.00, 90.00, 90.00 degrees
Closest atoms and distances in Å follow each position.
Atoms (fractional coordinates):
Si 0.0000 0.0000 0.0000  4 Pt 2.43
Si 0.0000 0.5000 0.3620  3 Pt 2.42-2.52, 2 Zn 2.52
Si 0.5000 0.0000 0.6380  3 Pt 2.42-2.52, 2 Zn 2.52
Si 0.5000 0.5000 0.0000  4 Pt 2.43
Pt 0.0000 0.5000 0.1202  5 Si 2.42-2.43
Pt 0.0000 0.0000 0.5000  4 Si 2.52
Pt 0.5000 0.0000 0.8798  5 Si 2.42-2.43
Pm 0.0000 0.5000 0.7518  8 Si 3.20-3.26, 6 Pt 3.25-3.29, 2 Zn 3.29
Pm 0.5000 0.0000 0.2482  8 Si 3.20-3.26, 6 Pt 3.25-3.29, 2 Zn 3.29
Zn 0.5000 0.5000 0.5000  4 Si 2.52

---

Record 2
## Pm2Zn3SiPt4 (PBE)

Data for a relaxed structure of Pm2Zn3SiPt4.

Calculated values
The value obtained for the formation energy (no corrections) is -0.829 eV per atom. As for the total moment: 0.000 μB per atom. The calculation puts the volume at 187.7 Å³/cell. The calculated density comes out at 11.451 g/cm3.

Cell lengths 4.2897, 4.2897, 10.2025 Å; angles 90.00, 90.00, 90.00 degrees
Closest atoms and distances in Å follow each position.
Atoms (fractional coordinates):
Zn 0.0000 0.5000 0.1362  5 Pt 2.48-2.56
Zn 0.5000 0.0000 0.8638  5 Pt 2.48-2.56
Zn 0.0000 0.0000 0.5000  4 Pt 2.48
Pm 0.5000 0.0000 0.2504  6 Zn 3.25-3.33, 8 Pt 3.30-3.34, 2 Si 3.33
Pm 0.0000 0.5000 0.7496  6 Zn 3.25-3.33, 8 Pt 3.30-3.34, 2 Si 3.33
Pt 0.5000 0.0000 0.6212  3 Zn 2.48, 2 Si 2.48
Pt 0.0000 0.5000 0.3788  3 Zn 2.48, 2 Si 2.48
Pt 0.0000 0.0000 0.0000  4 Zn 2.56
Pt 0.5000 0.5000 0.0000  4 Zn 2.56
Si 0.5000 0.5000 0.5000  4 Pt 2.48

---

Record 3
## PmZnSiPt6 (PBE)

Data for a relaxed structure of PmZnSiPt6.

Calculated values
The value obtained for the formation energy (no corrections) is -0.469 eV per atom. As for the total moment: 0.000 μB per atom. The calculation puts the volume at 341.7 Å³/cell. The calculated density comes out at 13.693 g/cm3.

Cell lengths 6.6066, 9.1737, 7.9841 Å; angles 125.06, 114.44, 90.00 degrees
Closest atoms and distances in Å follow each position.
Atoms (fractional coordinates):
Pt 0.4245 0.6745 0.8489  2 Si 2.45
Pt 0.9001 0.6375 0.2550  1 Si 2.31
Pt 0.0837 0.8337 0.1673  2 Zn 2.50, 4 Pt 2.71
Pt 0.9001 0.1174 0.2550  1 Si 2.31
Pt 0.0999 0.8826 0.7450  1 Si 2.31
Pt 0.5755 0.3255 0.1511  2 Si 2.45
Pt 0.0999 0.3625 0.7450  1 Si 2.31
Pt 0.3549 0.1174 0.2550  1 Si 2.31
Pt 0.6451 0.8826 0.7450  1 Si 2.31
Pt 0.3549 0.6375 0.2550  1 Si 2.31
Pt 0.6451 0.3625 0.7450  1 Si 2.31
Pt 0.9163 0.1663 0.8327  2 Zn 2.50, 4 Pt 2.71
Si 0.5000 0.5000 0.0000  6 Pt 2.31-2.45
Si 0.5000 0.0000 0.0000  6 Pt 2.31-2.45
Zn 0.5000 0.0000 0.5000  6 Pt 2.50-2.60
Zn 0.0000 0.0000 0.5000  6 Pt 2.50-2.60
Pm 0.8274 0.5774 0.6548  6 Pt 2.84-2.89
Pm 0.1726 0.4226 0.3452  6 Pt 2.84-2.89

---

Record 4
## Pm3Zn2SiPt9 (PBE)

Data for a relaxed structure of Pm3Zn2SiPt9.

Calculated values
The value obtained for the formation energy (no corrections) is -0.766 eV per atom. As for the total moment: 0.000 μB per atom. The calculation puts the volume at 312.9 Å³/cell. The calculated density comes out at 12.469 g/cm3.

Cell lengths 5.6617, 5.6617, 11.2724 Å; angles 90.00, 90.00, 120.00 degrees
Closest atoms and distances in Å follow each position.
Atoms (fractional coordinates):
Pm 0.3333 0.6667 0.7482  9 Pt 3.06-3.28, 3 Zn 3.38
Pm 0.0000 0.0000 0.0000  6 Pt 2.83
Pm 0.6667 0.3333 0.2518  9 Pt 3.06-3.28, 3 Zn 3.38
Zn 0.6667 0.3333 0.8260  6 Pt 2.55-2.58
Zn 0.3333 0.6667 0.1740  6 Pt 2.55-2.58
Pt 0.8279 0.6558 0.6452  1 Si 2.35, 1 Zn 2.58
Pt 0.3442 0.1721 0.6452  1 Si 2.35, 1 Zn 2.58
Pt 0.8279 0.1721 0.6452  1 Si 2.35, 1 Zn 2.58
Pt 0.6558 0.8279 0.3548  1 Si 2.35, 1 Zn 2.58
Pt 0.5000 0.0000 0.0000  2 Zn 2.55, 4 Pt 2.83, 2 Pm 2.83
Pt 0.5000 0.5000 0.0000  2 Zn 2.55, 2 Pm 2.83, 4 Pt 2.83
Pt 0.0000 0.5000 0.0000  2 Zn 2.55, 4 Pt 2.83, 2 Pm 2.83
Pt 0.1721 0.8279 0.3548  1 Si 2.35, 1 Zn 2.58
Pt 0.1721 0.3442 0.3548  1 Si 2.35, 1 Zn 2.58
Si 0.0000 0.0000 0.5000  6 Pt 2.35

---

Record 5
## PmZn2SiPt5 (PBE)

Data for a relaxed structure of PmZn2SiPt5.

Calculated values
The value obtained for the formation energy (no corrections) is -0.547 eV per atom. As for the total moment: 0.000 μB per atom. The calculation puts the volume at 170.3 Å³/cell. The calculated density comes out at 12.473 g/cm3.

Cell lengths 4.5548, 5.6531, 7.5452 Å; angles 112.00, 107.57, 90.00 degrees
Closest atoms and distances in Å follow each position.
Atoms (fractional coordinates):
Pt 0.6417 0.8827 0.2833  1 Si 2.38, 1 Zn 2.57
Pt 0.3583 0.5994 0.7167  1 Si 2.38, 1 Zn 2.57
Pt 0.3583 0.1173 0.7167  1 Si 2.38, 1 Zn 2.57
Pt 0.0000 0.0000 0.0000  2 Si 2.28
Pt 0.6417 0.4006 0.2833  1 Si 2.38, 1 Zn 2.57
Zn 0.8063 0.8063 0.6125  7 Pt 2.56-2.79
Zn 0.1937 0.1937 0.3875  7 Pt 2.56-2.79
Pm 0.0000 0.5000 0.0000  2 Pt 2.83
Si 0.5000 0.0000 0.0000  6 Pt 2.28-2.38

---

Record 6
## PmZn2SiPt (PBE)

Data for a relaxed structure of PmZn2SiPt.

Calculated values
The value obtained for the formation energy (no corrections) is -0.679 eV per atom. As for the total moment: 0.000 μB per atom. The calculation puts the volume at 91.3 Å³/cell. The calculated density comes out at 9.079 g/cm3.

Cell lengths 4.1664, 4.1970, 5.9985 Å; angles 110.48, 110.32, 90.00 degrees
Closest atoms and distances in Å follow each position.
Atoms (fractional coordinates):
Pt 0.2029 0.7029 0.4058  2 Si 2.43, 2 Zn 2.61
Zn 0.0549 0.0549 0.1097  1 Si 2.41, 2 Zn 2.53, 2 Pt 2.61
Zn 0.6917 0.1917 0.3834  2 Si 2.51, 2 Zn 2.53
Pm 0.4390 0.4390 0.8780  4 Si 3.19, 8 Zn 3.19-3.37, 4 Pt 3.24-3.45
Si 0.8236 0.8236 0.6473  3 Zn 2.41-2.51, 2 Pt 2.43

---

Record 7
## Pm2ZrSi3Pt4 (PBE)

Data for a relaxed structure of Pm2ZrSi3Pt4.

Calculated values
The value obtained for the formation energy (no corrections) is -1.066 eV per atom. As for the total moment: 0.000 μB per atom. The calculation puts the volume at 190.7 Å³/cell. The calculated density comes out at 10.850 g/cm3.

Cell lengths 4.2171, 4.2171, 10.7216 Å; angles 90.00, 90.00, 90.00 degrees
Closest atoms and distances in Å follow each position.
Atoms (fractional coordinates):
Pt 0.5000 0.5000 0.0000  4 Si 2.51
Pt 0.0000 0.0000 0.0000  4 Si 2.51
Pt 0.5000 0.0000 0.6505  3 Si 2.39-2.66, 2 Zr 2.66
Pt 0.0000 0.5000 0.3495  3 Si 2.39-2.66, 2 Zr 2.66
Si 0.0000 0.0000 0.5000  4 Pt 2.66
Si 0.5000 0.0000 0.8733  5 Pt 2.39-2.51
Si 0.0000 0.5000 0.1267  5 Pt 2.39-2.51
Pm 0.5000 0.0000 0.2313  4 Si 3.19, 8 Pt 3.24-3.25
Pm 0.0000 0.5000 0.7687  4 Si 3.19, 8 Pt 3.24-3.25
Zr 0.5000 0.5000 0.5000  4 Pt 2.66

---

Record 8
## Pm2ZrSi4Pt3 (PBE)

Data for a relaxed structure of Pm2ZrSi4Pt3.

Calculated values
The value obtained for the formation energy (no corrections) is -1.034 eV per atom. As for the total moment: 0.000 μB per atom. The calculation puts the volume at 188.8 Å³/cell. The calculated density comes out at 9.486 g/cm3.

Cell lengths 4.2329, 4.2329, 10.5397 Å; angles 90.00, 90.00, 90.00 degrees
Closest atoms and distances in Å follow each position.
Atoms (fractional coordinates):
Si 0.0000 0.5000 0.3464  3 Pt 2.45-2.66, 2 Zr 2.66
Si 0.5000 0.0000 0.6536  3 Pt 2.45-2.66, 2 Zr 2.66
Si 0.0000 0.0000 0.0000  4 Pt 2.43
Si 0.5000 0.5000 0.0000  4 Pt 2.43
Pt 0.5000 0.0000 0.8858  5 Si 2.43-2.45
Pt 0.0000 0.0000 0.5000  4 Si 2.66
Pt 0.0000 0.5000 0.1142  5 Si 2.43-2.45
Pm 0.0000 0.5000 0.7649  8 Si 3.21-3.26, 6 Pt 3.25-3.50, 2 Zr 3.50
Pm 0.5000 0.0000 0.2351  8 Si 3.21-3.26, 6 Pt 3.25-3.50, 2 Zr 3.50
Zr 0.5000 0.5000 0.5000  4 Si 2.66

---

Record 9
## Pm3Sm2Pt4 (PBE)

Data for a relaxed structure of Pm3Sm2Pt4.

Calculated values
The calculation puts the formation energy at -923 meV per atom. As for the total moment: 0.000 μB per atom. The calculation puts the volume at 474.3 Å³/cell. The calculated density comes out at 10.615 g/cm3.

Cell lengths 7.7922, 7.9342, 8.6048 Å; angles 90.00, 116.92, 90.00 degrees
Closest atoms and distances in Å follow each position.
Atoms (fractional coordinates):
Pt 0.2031 0.9529 0.4062  5 Pm 2.90-3.14, 2 Sm 3.19-3.20
Pt 0.2323 0.7500 0.9646  3 Pm 2.79-2.86, 2 Sm 2.95
Pt 0.7323 0.7500 0.9646  3 Pm 2.79-2.86, 2 Sm 2.95
Pt 0.2677 0.2500 0.0354  3 Pm 2.79-2.86, 2 Sm 2.95
Pt 0.7031 0.5471 0.4062  5 Pm 2.90-3.14, 2 Sm 3.19-3.20
Pt 0.7677 0.2500 0.0354  3 Pm 2.79-2.86, 2 Sm 2.95
Pt 0.2969 0.4529 0.5938  5 Pm 2.90-3.14, 2 Sm 3.19-3.20
Pt 0.7969 0.0471 0.5938  5 Pm 2.90-3.14, 2 Sm 3.19-3.20
Sm 0.8964 0.4010 0.7929  4 Pt 2.95-3.20
Sm 0.1036 0.5990 0.2071  4 Pt 2.95-3.20
Sm 0.6036 0.9010 0.2071  4 Pt 2.95-3.20
Sm 0.3964 0.0990 0.7929  4 Pt 2.95-3.20
Pm 0.0000 0.0000 0.0000  4 Pt 2.79
Pm 0.0458 0.7500 0.5917  5 Pt 2.86-3.06
Pm 0.5458 0.7500 0.5917  5 Pt 2.86-3.06
Pm 0.9542 0.2500 0.4083  5 Pt 2.86-3.06
Pm 0.4542 0.2500 0.4083  5 Pt 2.86-3.06
Pm 0.5000 0.5000 0.0000  4 Pt 2.79

---

Record 10
## Pm2SmPt3 (PBE)

Data for a relaxed structure of Pm2SmPt3.

Calculated values
The calculation puts the formation energy at -1086 meV per atom. As for the total moment: 0.000 μB per atom. The calculation puts the volume at 137.8 Å³/cell. The calculated density comes out at 12.362 g/cm3.

Cell lengths 5.0669, 5.0669, 6.1961 Å; angles 90.00, 90.00, 120.00 degrees
Closest atoms and distances in Å follow each position.
Atoms (fractional coordinates):
Pt 0.0000 0.0000 0.5000  2 Sm 3.10, 6 Pm 3.10
Pt 0.3333 0.6667 0.1632  5 Pm 3.08-3.12, 3 Sm 3.10
Pt 0.6667 0.3333 0.8368  5 Pm 3.08-3.12, 3 Sm 3.10
Pm 0.3333 0.6667 0.6668  8 Pt 3.08-3.12
Pm 0.6667 0.3333 0.3332  8 Pt 3.08-3.12
Sm 0.0000 0.0000 0.0000  8 Pt 3.10

---

Record 11
## Pm2Sm3Pt4 (PBE)

Data for a relaxed structure of Pm2Sm3Pt4.

Calculated values
The calculation puts the formation energy at -1071 meV per atom. As for the total moment: 0.000 μB per atom. The calculation puts the volume at 450.6 Å³/cell. The calculated density comes out at 11.214 g/cm3.

Cell lengths 7.9614, 7.7120, 7.7384 Å; angles 90.00, 90.00, 108.49 degrees
Closest atoms and distances in Å follow each position.
Atoms (fractional coordinates):
Pt 0.1327 0.9070 0.4692  4 Sm 2.89-3.08, 1 Pt 2.95, 2 Pm 3.06-3.21
Pt 0.8732 0.4942 0.1317  1 Pt 2.85, 5 Sm 2.97-3.15, 1 Pm 3.01
Pt 0.3673 0.0930 0.9692  4 Sm 2.89-3.08, 1 Pt 2.95, 2 Pm 3.06-3.21
Pt 0.6268 0.5058 0.6317  1 Pt 2.85, 5 Sm 2.97-3.15, 1 Pm 3.01
Pt 0.6327 0.9070 0.0308  4 Sm 2.89-3.08, 1 Pt 2.95, 2 Pm 3.06-3.21
Pt 0.1268 0.5058 0.8683  1 Pt 2.85, 5 Sm 2.97-3.15, 1 Pm 3.01
Pt 0.8673 0.0930 0.5308  4 Sm 2.89-3.08, 1 Pt 2.95, 2 Pm 3.06-3.21
Pt 0.3732 0.4942 0.3683  1 Pt 2.85, 5 Sm 2.97-3.15, 1 Pm 3.01
Pm 0.4091 0.7990 0.6799  6 Pt 3.01-3.32
Pm 0.0909 0.2010 0.1799  6 Pt 3.01-3.32
Pm 0.5909 0.2010 0.3201  6 Pt 3.01-3.32
Pm 0.9091 0.7990 0.8201  6 Pt 3.01-3.32
Sm 0.2496 0.7584 0.1667  6 Pt 2.89-3.08
Sm 0.0000 0.5000 0.5000  6 Pt 2.99-3.15
Sm 0.7496 0.7584 0.3333  6 Pt 2.89-3.08
Sm 0.2504 0.2416 0.6667  6 Pt 2.89-3.08
Sm 0.7504 0.2416 0.8333  6 Pt 2.89-3.08
Sm 0.5000 0.5000 0.0000  6 Pt 2.99-3.15